5
Lattice="-0.997 -0.597 -3.896 -3.844 -0.744 1.098 -0.874 3.952 -0.382" Properties=species:S:1:pos:R:3 comment="FeNi3F GGA+U optimized geometry" magmom_total_mub_per_fu=6.49 relative_energy_ev_per_atom=0.000 energy_ha_per_atom=-0.091 spacegroup="Pm-3m, No. 221" pbc="T T T"
Fe -2.857 1.306 -1.590
Ni -1.922 -0.372 0.549
Ni -0.499 -0.298 -1.948
Ni -0.437 1.976 -0.191
F 0.000 0.000 0.000